Record 1
Computed, not measured: Ba2CdPb6 after structural relaxation at the PBE-GGA level of DFT.

* DFT formation energy: -314 meV/atom
* total energy: -29.83 eV for the cell shown
* M_tot: 0.000 Bohr magnetons per cell

Cell lengths 6.5883, 7.3513, 7.3513 Å; angles 60.00, 90.02, 90.02 degrees
Last column: nearest neighbours and their distance in Å.
Element x y z (fractional)
Ba: 0.8307 0.6668 0.6668  12 Pb 3.82-3.87
Ba: 0.1693 0.3332 0.3332  12 Pb 3.82-3.87
Cd: 0.0000 0.0000 0.0000  6 Pb 3.12
Pb: 0.3258 0.3551 0.8224  1 Cd 3.12, 4 Pb 3.22-3.44
Pb: 0.3257 0.8224 0.8224  1 Cd 3.12, 4 Pb 3.22-3.44
Pb: 0.3258 0.8224 0.3551  1 Cd 3.12, 4 Pb 3.22-3.44
Pb: 0.6742 0.6449 0.1776  1 Cd 3.12, 4 Pb 3.22-3.44
Pb: 0.6743 0.1776 0.1776  1 Cd 3.12, 4 Pb 3.22-3.44
Pb: 0.6742 0.1776 0.6449  1 Cd 3.12, 4 Pb 3.22-3.44

---

Record 2
Computed, not measured: Pr5Dy2Er4 after structural relaxation at the PBE-GGA level of DFT.

* DFT formation energy: 188 meV/atom
* total energy: -49.28 eV for the cell shown
* M_tot: 0.000 Bohr magnetons per cell

Cell lengths 3.5373, 9.1668, 12.7993 Å; angles 110.98, 97.94, 90.00 degrees
Last column: nearest neighbours and their distance in Å.
Element x y z (fractional)
Pr: 0.8540 0.0552 0.7080  3 Dy 3.46-3.82, 3 Er 3.47-3.61, 3 Pr 3.54-3.69
Pr: 0.8540 0.6528 0.7080  3 Dy 3.46-3.82, 3 Er 3.47-3.61, 3 Pr 3.54-3.69
Pr: 0.1460 0.3472 0.2920  3 Dy 3.46-3.82, 3 Er 3.47-3.61, 3 Pr 3.54-3.69
Pr: 0.1460 0.9448 0.2920  3 Dy 3.46-3.82, 3 Er 3.47-3.61, 3 Pr 3.54-3.69
Pr: 0.5000 0.0000 0.0000  4 Er 3.39, 2 Pr 3.54
Dy: 0.2697 0.2697 0.5394  1 Er 3.17, 2 Pr 3.46, 2 Dy 3.54
Dy: 0.7303 0.7303 0.4606  1 Er 3.17, 2 Pr 3.46, 2 Dy 3.54
Er: 0.0000 0.3156 0.0000  7 Er 3.34-3.54, 4 Pr 3.39-3.61
Er: 0.5963 0.5963 0.1925  1 Dy 3.17, 6 Er 3.34-3.54, 4 Pr 3.47
Er: 0.0000 0.6844 0.0000  7 Er 3.34-3.54, 4 Pr 3.39-3.61
Er: 0.4037 0.4037 0.8075  1 Dy 3.17, 6 Er 3.34-3.54, 4 Pr 3.47

---

Record 3
Computed, not measured: PmEuDy after structural relaxation at the PBE-GGA level of DFT.

* DFT formation energy: 46 meV/atom
* total energy: -19.49 eV for the cell shown
* M_tot: 7.350 Bohr magnetons per cell

Cell lengths 3.6721, 3.6721, 9.0165 Å; angles 90.00, 90.00, 120.00 degrees
Last column: nearest neighbours and their distance in Å.
Element x y z (fractional)
Eu: 0.0000 0.0000 0.9969  6 Eu 3.67, 3 Dy 3.72, 3 Pm 3.79
Pm: 0.6667 0.3333 0.3457  3 Dy 3.52, 6 Pm 3.67, 3 Eu 3.79
Dy: 0.3333 0.6667 0.6574  3 Pm 3.52, 6 Dy 3.67, 3 Eu 3.72

---

Record 4
Computed, not measured: SrTa2RuN after structural relaxation at the PBE-GGA level of DFT.

* formation energy (no corrections): 1.299 eV per atom
* total energy: -36.49 eV for the cell shown
* M_tot: 1.716 Bohr magnetons per cell

Cell lengths 5.2303, 3.8209, 5.2303 Å; angles 90.00, 90.00, 90.00 degrees
Last column: nearest neighbours and their distance in Å.
Element x y z (fractional)
Ru: 0.0000 0.0000 0.0000  2 N 1.91
N: 0.0000 0.5000 0.0000  2 Ru 1.91
Sr: 0.5000 0.5000 0.5000  8 Ta 3.24
Ta: 0.0000 0.0000 0.5000  2 Ru 2.62
Ta: 0.5000 0.0000 0.0000  2 Ru 2.62